(1)
! Ce2MnGa4Si2 (PBE, optimized geometry); values from VASP
&SYSTEM
  ibrav = 0, nat = 9, ntyp = 4
/
ATOMIC_SPECIES
Ce 140.12 Ce.upf
Mn 54.94 Mn.upf
Ga 69.72 Ga.upf
Si 28.09 Si.upf
ATOMIC_POSITIONS crystal
Ce 0.2500 0.7500 0.5000
Ce 0.7500 0.2500 0.5000
Mn 0.0000 0.0000 0.0000
Ga 0.2834 0.2834 0.5667
Ga 0.2834 0.7166 0.0000
Ga 0.7166 0.2834 0.0000
Ga 0.7166 0.7166 0.4333
Si 0.2803 0.2803 0.0000
Si 0.7197 0.7197 0.0000
CELL_PARAMETERS angstrom
-3.0976 3.0976 4.3276
3.0976 -3.0976 4.3276
3.0976 3.0976 -4.3276
! Energy relative to the elements, uncorrected in eV per atom: -0.51
! Magnetization in μB per formula unit: 3.41


(2)
! Nb2HgC (PBE, optimized geometry); values from VASP
&SYSTEM
  ibrav = 0, nat = 4, ntyp = 3
/
ATOMIC_SPECIES
Nb 92.91 Nb.upf
Hg 200.59 Hg.upf
C 12.01 C.upf
ATOMIC_POSITIONS crystal
Nb 0.2500 0.2500 0.2500
Nb 0.7500 0.7500 0.7500
Hg 0.0000 0.0000 0.0000
C 0.5000 0.5000 0.5000
CELL_PARAMETERS angstrom
0.0000 3.1653 3.1653
3.1653 0.0000 3.1653
3.1653 3.1653 0.0000
! Formation energy in meV/atom: 1147.6
! Magnetization in μB per formula unit: 0.00